# 1
Below is a geometry-optimized Cs2CdAgCl6 structure, with properties calculated at the PBE-GGA level.

Summary:
* V: 30.06 A^3/atom
* total energy: -2.9026 eV/atom
* raw formation energy: -1.2473 eV per atom

a = 7.5719 Å, b = 7.5726 Å, c = 12.9299 Å
α = 90.00°, β = 125.82°, γ = 90.00°
Last column: nearest neighbours and their distance in Å.
Space group P2_1/c (No. 14)
Symmetry-distinct sites (fractional):
Cs  0.2503  0.0003  0.2501  12 Cl 3.75-3.80
Cd  0.0000  0.0000  0.5000  6 Cl 2.49-2.77
Ag  0.5000  0.0000  0.0000  4 Cl 2.50-2.59
Cl  0.2325  0.2326  0.4996  1 Cd 2.49
Cl  0.2581  0.7413  0.4999  1 Ag 2.59, 1 Cd 2.77
Cl  0.2621  0.5008  0.2614  1 Ag 2.50, 1 Cd 2.74



# 2
Below is a geometry-optimized Cs2CdAgCl6 structure, with properties calculated at the PBE-GGA level.

Summary:
* V: 29.57 A^3/atom
* total energy: -2.9026 eV/atom
* raw formation energy: -1.2473 eV per atom

a = 7.5235 Å, b = 7.5235 Å, c = 10.4477 Å
α = 90.00°, β = 90.00°, γ = 90.00°
Last column: nearest neighbours and their distance in Å.
Space group I4/mmm (No. 139)
Symmetry-distinct sites (fractional):
Cs  0.0000  0.5000  0.2500  12 Cl 3.73-3.76
Cd  0.0000  0.0000  0.0000  6 Cl 2.61-2.70
Ag  0.0000  0.0000  0.5000  6 Cl 2.52-2.71
Cl  0.0000  0.0000  0.2586  1 Ag 2.52, 1 Cd 2.70
Cl  0.2457  0.2457  0.0000  1 Cd 2.61, 1 Ag 2.71



# 3
Below is a geometry-optimized CsCdAgCl6 structure, with properties calculated at the PBE-GGA level.

Summary:
* V: 34.42 A^3/atom
* total energy: -2.6245 eV/atom
* raw formation energy: -0.8801 eV per atom

a = 6.7970 Å, b = 6.7970 Å, c = 7.7435 Å
α = 90.00°, β = 90.00°, γ = 120.00°
Last column: nearest neighbours and their distance in Å.
Space group P312 (No. 149)
Symmetry-distinct sites (fractional):
Cs  0.0000  0.0000  0.0000  6 Cl 3.50
Cd  0.3333  0.6667  0.5000  6 Cl 2.66
Ag  0.6667  0.3333  0.5000  6 Cl 2.54
Cl  0.3835  0.0131  0.6921  1 Ag 2.54, 1 Cd 2.66



# 4
Below is a geometry-optimized CsCd2Ag2Cl7 structure, with properties calculated at the PBE-GGA level.

Summary:
* V: 27.07 A^3/atom
* total energy: -2.7877 eV/atom
* raw formation energy: -1.0117 eV per atom

a = 5.4626 Å, b = 5.4626 Å, c = 21.7700 Å
α = 90.00°, β = 90.00°, γ = 90.00°
Last column: nearest neighbours and their distance in Å.
Space group I4/mmm (No. 139)
Symmetry-distinct sites (fractional):
Cs  0.0000  0.0000  0.0000  12 Cl 3.78-3.86
Cd  0.0000  0.0000  0.3808  6 Cl 2.59-2.73
Ag  0.0000  0.5000  0.2500  6 Cl 2.74-2.82
Cl  0.0000  0.0000  0.2619  1 Cd 2.59, 4 Ag 2.74
Cl  0.0000  0.0000  0.5000  2 Cd 2.60
Cl  0.0000  0.5000  0.1203  2 Cd 2.73, 1 Ag 2.82



# 5
Below is a geometry-optimized Cs2CdAgCl5 structure, with properties calculated at the PBE-GGA level.

Summary:
* V: 33.80 A^3/atom
* total energy: -2.9908 eV/atom
* raw formation energy: -1.3567 eV per atom

a = 4.2944 Å, b = 20.3950 Å, c = 13.8944 Å
α = 90.00°, β = 90.00°, γ = 90.00°
Last column: nearest neighbours and their distance in Å.
Space group Cmc2_1 (No. 36)
Symmetry-distinct sites (fractional):
Cs  0.0000  0.1184  0.0000  7 Cl 3.45-3.79
Cs  0.0000  0.1300  0.6105  8 Cl 3.45-3.81
Cd  0.0000  0.2131  0.3224  6 Cl 2.55-2.82
Ag  0.0000  0.4374  0.7444  3 Cl 2.48-2.60
Cl  0.0000  0.0845  0.3449  2 Ag 2.60, 1 Cd 2.64
Cl  0.0000  0.2848  0.9480  2 Cd 2.77
Cl  0.0000  0.3019  0.6922  2 Cd 2.82, 1 Ag 2.86
Cl  0.0000  0.3376  0.3077  1 Cd 2.55
Cl  0.0000  0.4986  0.5901  1 Ag 2.48



# 6
Below is a geometry-optimized Cs3Cd2AgCl9 structure, with properties calculated at the PBE-GGA level.

Summary:
* V: 29.73 A^3/atom
* total energy: -2.9086 eV/atom
* raw formation energy: -1.3178 eV per atom

a = 7.4858 Å, b = 7.4858 Å, c = 9.1899 Å
α = 90.00°, β = 90.00°, γ = 120.00°
Last column: nearest neighbours and their distance in Å.
Space group P-3m1 (No. 164)
Symmetry-distinct sites (fractional):
Cs  0.0000  0.0000  0.0000  12 Cl 3.74-3.76
Cs  0.3333  0.6667  0.6643  12 Cl 3.72-3.77
Cd  0.3333  0.6667  0.1693  6 Cl 2.64-2.66
Ag  0.0000  0.0000  0.5000  6 Cl 2.64
Cl  0.0000  0.5000  0.0000  2 Cd 2.66
Cl  0.1668  0.3336  0.3344  1 Cd 2.64, 1 Ag 2.64



# 7
Below is a geometry-optimized Cs2CdAg2Cl6 structure, with properties calculated at the PBE-GGA level.

Summary:
* V: 32.74 A^3/atom
* total energy: -2.9401 eV/atom
* raw formation energy: -1.1761 eV per atom

a = 7.8858 Å, b = 7.8858 Å, c = 20.0635 Å
α = 90.00°, β = 90.00°, γ = 120.00°
Last column: nearest neighbours and their distance in Å.
Space group R-3m (No. 166, hexagonal axes)
Symmetry-distinct sites (fractional):
Cs  0.0000  0.0000  0.2302  9 Cl 3.59-3.97, 1 Ag 3.90
Cd  0.0000  0.0000  0.0000  6 Cl 2.66
Ag  0.0000  0.0000  0.4247  3 Cl 2.49
Cl  0.0305  0.5153  0.7503  1 Ag 2.49, 1 Cd 2.66



# 8
Below is a geometry-optimized CsCdAgCl4 structure, with properties calculated at the PBE-GGA level.

Summary:
* V: 33.09 A^3/atom
* total energy: -2.8743 eV/atom
* raw formation energy: -1.1591 eV per atom

a = 6.8183 Å, b = 7.5261 Å, c = 9.3112 Å
α = 90.00°, β = 104.15°, γ = 90.00°
Last column: nearest neighbours and their distance in Å.
Space group P2_1/m (No. 11)
Symmetry-distinct sites (fractional):
Cs  0.2436  0.2500  0.0546  9 Cl 3.51-3.80
Cd  0.2446  0.7500  0.3309  4 Cl 2.45-2.57
Ag  0.1316  0.2500  0.5077  5 Cl 2.61-2.77
Cl  0.0273  0.0076  0.7009  1 Cd 2.57, 2 Ag 2.77
Cl  0.3223  0.7500  0.0841  1 Cd 2.48
Cl  0.4831  0.2500  0.4418  1 Cd 2.45, 1 Ag 2.61



Summary of total moment in μB/f.u.
0.00, 0.00, 2.07, 0.00, 0.00, 0.00, 0.00, 0.00
(order as listed above)